No. 1
The following is a PBE calculation of Ir3AuN5 after structural relaxation, from the Open Quantum Materials Database.

a b c (Å): 5.640 5.640 3.884
angles (deg): 90.00 90.00 120.00
Sites, in units of the cell vectors:
Ir 0.000 0.500 0.000
Ir 0.500 0.000 0.000
Ir 0.500 0.500 0.000
Au 0.000 0.000 0.500
N 0.000 0.000 0.000
N 0.333 0.667 0.330
N 0.333 0.667 0.670
N 0.667 0.333 0.330
N 0.667 0.333 0.670

Its space group is No. 191. For the total energy, the calculation gives -62.7 eV per cell. The crystal system is hexagonal. The value obtained for the magnetization is 0.00 μB/f.u.

=====

No. 2
The following is a PBE calculation of Sr2IrAuN after structural relaxation, from the Open Quantum Materials Database.

a b c (Å): 5.450 5.450 3.787
angles (deg): 90.00 90.00 90.00
Sites, in units of the cell vectors:
Sr 0.000 0.500 0.000
Sr 0.500 0.000 0.000
Ir 0.000 0.000 0.500
Au 0.500 0.500 0.500
N 0.000 0.000 0.000

Its space group is No. 123. For the total energy, the calculation gives -27.3 eV per cell. The crystal system is tetragonal. The value obtained for the magnetization is 0.00 μB/f.u.

=====

No. 3
The following is a PBE calculation of NaIrAu after structural relaxation, from the Open Quantum Materials Database.

a b c (Å): 6.129 6.129 6.129
angles (deg): 90.00 90.00 90.00
Sites, in units of the cell vectors:
Na 0.000 0.000 0.000
Na 0.000 0.500 0.500
Na 0.500 0.000 0.500
Na 0.500 0.500 0.000
Ir 0.250 0.250 0.250
Ir 0.250 0.750 0.750
Ir 0.750 0.250 0.750
Ir 0.750 0.750 0.250
Au 0.250 0.250 0.750
Au 0.250 0.750 0.250
Au 0.750 0.250 0.250
Au 0.750 0.750 0.750

Its space group is No. 216. For the total energy, the calculation gives -39.6 eV per cell. The crystal system is cubic. The value obtained for the magnetization is 0.02 μB/f.u.

=====

Repeat the second record exactly.
The following is a PBE calculation of Sr2IrAuN after structural relaxation, from the Open Quantum Materials Database.

a b c (Å): 5.450 5.450 3.787
angles (deg): 90.00 90.00 90.00
Sites, in units of the cell vectors:
Sr 0.000 0.500 0.000
Sr 0.500 0.000 0.000
Ir 0.000 0.000 0.500
Au 0.500 0.500 0.500
N 0.000 0.000 0.000

Its space group is No. 123. For the total energy, the calculation gives -27.3 eV per cell. The crystal system is tetragonal. The value obtained for the magnetization is 0.00 μB/f.u.

=====

Question: magnetization of number 3 (NaIrAu)?
Answer: 0.02 μB/f.u.